LiCoNO2 after structural relaxation, computed with PBE+U.

Computed properties:
D(E_F) in states/eV/atom: 0.782
Space-group type: P4/mmm (123)
Total DFT energy (no corrections) in eV/atom: -4.179

a = 3.622 Å, b = 3.622 Å, c = 3.601 Å
α = 90.00°, β = 90.00°, γ = 90.00°
Sites, in units of the cell vectors:
Li (0.000, 0.000, 0.000)
Co (0.500, 0.500, 0.500)
O (0.000, 0.500, 0.000)
O (0.500, 0.000, 0.000)
N (0.000, 0.000, 0.500)